5
Lattice="-1.1887 -0.7306 -3.6778 1.0272 -3.7741 0.4177 -3.6063 -0.8342 1.3313" Properties=species:S:1:pos:R:3 comment="PBE+U AcNiO3, optimized geometry" energy_ev_per_atom=-6.45 sg=Pm-3m mass_density_g_cm3=9.104 magmom_total_mub_per_atom=0.2000 pbc="T T T"
Ni -1.8839 -2.6694 -0.9644
Ac 0.0000 0.0000 0.0000
O -0.0808 -2.2523 -1.6301
O -2.3975 -0.7824 -1.1733
O -1.2895 -2.3041 0.8745